Record 1
First-principles (GGA-PBE) data for an optimized crystal structure of CdPdNO2, as listed in Alexandria via LeMat-Bulk.

Uncorrected energy = -4.434 eV per atom
Symmetry = No. 123
N(E_F) = 0.4501 states/eV per atom
Mass density = 6.8 g cm⁻³
Uncorrected formation energy = 0.436 eV/atom

a = 4.209 Å, b = 4.209 Å, c = 3.671 Å
α = 90.00°, β = 90.00°, γ = 90.00°
Sites, in units of the cell vectors:
Cd (0.000, 0.000, 0.000)
Pd (0.500, 0.500, 0.500)
N (0.500, 0.500, 0.000)
O (0.000, 0.500, 0.500)
O (0.500, 0.000, 0.500)



Record 2
First-principles (GGA-PBE) data for an optimized crystal structure of CdPdNO2, as listed in Alexandria via LeMat-Bulk.

Uncorrected energy = -3.622 eV per atom
Symmetry = No. 123
N(E_F) = 0.7299 states/eV per atom
Mass density = 5.9 g cm⁻³
Uncorrected formation energy = 1.247 eV/atom

a = 4.224 Å, b = 4.224 Å, c = 4.187 Å
α = 90.00°, β = 90.00°, γ = 90.00°
Sites, in units of the cell vectors:
Cd (0.000, 0.000, 0.000)
Pd (0.500, 0.500, 0.500)
N (0.000, 0.000, 0.500)
O (0.000, 0.500, 0.000)
O (0.500, 0.000, 0.000)